Computed, not measured: a geometry-optimized BaNdMn4O12 structure at the PBE with a Hubbard U level of DFT.

Lattice parameters (Å, degrees): 5.423 5.423 7.661 90.00 90.00 90.00
Fractional coordinates of all 18 atoms:
O 0.241 0.759 0.266
O 0.759 0.241 0.734
O 0.759 0.759 0.266
Mn 0.000 0.500 0.249
Mn 0.000 0.500 0.751
O 0.500 0.000 0.000
O 0.000 0.500 0.000
O 0.000 0.500 0.500
Mn 0.500 0.000 0.249
O 0.241 0.759 0.734
O 0.759 0.759 0.734
O 0.759 0.241 0.266
Mn 0.500 0.000 0.751
Ba 0.500 0.500 0.000
O 0.500 0.000 0.500
O 0.241 0.241 0.266
Nd 0.000 0.000 0.500
O 0.241 0.241 0.734

Total energy ... -6.7617 eV per atom
DOS at the Fermi energy ... 5.59 states/eV per cell